Entry 1:
Entry from Alexandria via LeMat-Bulk: Pr2OsPbO8 after structural relaxation (PBE-GGA).

Results
The final energy comes out at -174.28 eV for the cell shown. The calculation puts the volume at 382.0 Å³ per cell.

The structure in CIF format:
```
data_Pr2OsPbO8
_cell_length_a 7.313
_cell_length_b 7.377
_cell_length_c 7.082
_cell_angle_alpha 90.00
_cell_angle_beta 90.00
_cell_angle_gamma 90.00
_space_group_name_H-M_alt 'C m m m'
_space_group_IT_number 65
_space_group_name_Hall '-C 2 2'
loop_
_atom_site_label
_atom_site_type_symbol
_atom_site_fract_x
_atom_site_fract_y
_atom_site_fract_z
_atom_site_occupancy
Pr1 Pr 0.000 0.000 0.249 1
Os1 Os 0.000 0.500 0.000 1
Pb1 Pb 0.000 0.500 0.500 1
O1 O 0.000 0.324 0.203 1
O2 O 0.193 0.000 0.500 1
O3 O 0.246 0.000 0.000 1
```

Entry 2:
Entry from Alexandria via LeMat-Bulk: CdAg2Hg after structural relaxation (PBE-GGA).

Results
The calculation puts the formation energy at 0.026 eV per atom. The calculation puts the volume at 159.1 Å³ per cell.

The structure in CIF format:
```
data_CdAg2Hg
_cell_length_a 10.110
_cell_length_b 2.991
_cell_length_c 5.312
_cell_angle_alpha 90.00
_cell_angle_beta 97.83
_cell_angle_gamma 90.00
_space_group_name_H-M_alt 'C 1 m 1'
_space_group_IT_number 8
loop_
_space_group_symop_operation_xyz
'x,y,z'
'x,-y,z'
'x+1/2,y+1/2,z'
'x+1/2,-y+1/2,z'
loop_
_atom_site_label
_atom_site_type_symbol
_atom_site_fract_x
_atom_site_fract_y
_atom_site_fract_z
_atom_site_occupancy
Cd1 Cd 0.000 0.000 0.000 1
Ag1 Ag 0.007 0.500 0.516 1
Ag2 Ag 0.252 0.000 0.762 1
Hg1 Hg 0.255 0.500 0.272 1
```